# 1
## La4ScHg5 (PBE)

Data for a relaxed structure of La4ScHg5.

Cell and atoms, written as CIF:
```
data_La4ScHg5
_chemical_formula_sum 'La4 Sc1 Hg5'
_cell_length_a 3.638
_cell_length_b 3.638
_cell_length_c 21.026
_cell_angle_alpha 90.00
_cell_angle_beta 90.00
_cell_angle_gamma 90.00
_space_group_name_H-M_alt 'P 4/m m m'
_space_group_IT_number 123
_space_group_name_Hall '-P 4 2'
loop_
_atom_site_label
_atom_site_type_symbol
_atom_site_fract_x
_atom_site_fract_y
_atom_site_fract_z
_atom_site_occupancy
La1 La 0.000 0.000 0.105 1
La2 La 0.000 0.000 0.315 1
Sc1 Sc 0.000 0.000 0.500 1
Hg1 Hg 0.500 0.500 0.000 1
Hg2 Hg 0.500 0.500 0.211 1
Hg3 Hg 0.500 0.500 0.422 1
```

Properties
Formation energy   -0.47 eV per atom
Magnetization   0.0010 μB/atom
Volume   278.22 Å³/cell

=====

# 2
## La4ScHg (PBE)

Data for a relaxed structure of La4ScHg.

Cell and atoms, written as CIF:
```
data_La4ScHg
_chemical_formula_sum 'La16 Sc4 Hg4'
_cell_length_a 9.239
_cell_length_b 9.239
_cell_length_c 9.239
_cell_angle_alpha 90.00
_cell_angle_beta 90.00
_cell_angle_gamma 90.00
_space_group_name_H-M_alt 'F -4 3 m'
_space_group_IT_number 216
_space_group_name_Hall 'F -4 2 3'
loop_
_atom_site_label
_atom_site_type_symbol
_atom_site_fract_x
_atom_site_fract_y
_atom_site_fract_z
_atom_site_occupancy
La1 La 0.125 0.125 0.125 1
Sc1 Sc 0.250 0.250 0.750 1
Hg1 Hg 0.000 0.000 0.500 1
```

Properties
Formation energy   0.29 eV per atom
Magnetization   0.0062 μB/atom
Volume   788.52 Å³/cell